A) # BSCl2F

BSCl2F after structural relaxation (PBE, Alexandria).

abc: 4.3364 4.3364 4.0439
angles: 90.00 90.00 90.00
Atoms (fractional coordinates):
1 S 0.0000 0.0000 0.5000
2 F 0.5000 0.5000 0.5000
3 B 0.0000 0.0000 0.0000
4 Cl 0.0000 0.5000 0.0000
5 Cl 0.5000 0.0000 0.0000

Computed properties:
Space-group type: P4/mmm, No. 123
Crystal system: tetragonal
Density of states at the Fermi level in states/eV per cell: 4.9

=====

B) # BSCl2F

BSCl2F after structural relaxation (PBE, Alexandria).

abc: 5.4785 5.4785 3.6095
angles: 90.00 90.00 90.00
Atoms (fractional coordinates):
1 S 0.0000 0.0000 0.5000
2 F 0.0000 0.0000 0.0000
3 B 0.5000 0.5000 0.5000
4 Cl 0.0000 0.5000 0.0000
5 Cl 0.5000 0.0000 0.0000

Computed properties:
Space-group type: P4/mmm, No. 123
Crystal system: tetragonal
Density of states at the Fermi level in states/eV per cell: 3.4

=====

Most stable one: A), least stable one: B).

=====

A) # FeBCl2

FeBCl2 after structural relaxation (PBE, Alexandria).

abc: 7.8618 7.8618 7.8618
angles: 24.80 24.80 24.80
Atoms (fractional coordinates):
1 B 0.5000 0.5000 0.5000
2 Fe 0.0000 0.0000 0.0000
3 Cl 0.9044 0.9044 0.9044
4 Cl 0.0956 0.0956 0.0956

Computed properties:
Space-group type: R-3m, No. 166
Crystal system: trigonal
Density of states at the Fermi level in states/eV per cell: 2.9

=====

B) # FeBCl2

FeBCl2 after structural relaxation (PBE, Alexandria).

abc: 8.1914 8.1914 8.1914
angles: 23.11 23.11 23.11
Atoms (fractional coordinates):
1 B 0.0000 0.0000 0.0000
2 Fe 0.5000 0.5000 0.5000
3 Cl 0.8861 0.8861 0.8861
4 Cl 0.1139 0.1139 0.1139

Computed properties:
Space-group type: R-3m, No. 166
Crystal system: trigonal
Density of states at the Fermi level in states/eV per cell: 1.5

=====

C) # FeBCl2

FeBCl2 after structural relaxation (PBE, Alexandria).

abc: 4.4669 4.4669 4.4669
angles: 60.00 60.00 60.00
Atoms (fractional coordinates):
1 B 0.0000 0.0000 0.0000
2 Fe 0.5000 0.5000 0.5000
3 Cl 0.2500 0.2500 0.2500
4 Cl 0.7500 0.7500 0.7500

Computed properties:
Space-group type: Fm-3m, No. 225
Crystal system: cubic
Density of states at the Fermi level in states/eV per cell: 1.3

=====

Most stable one: A), least stable one: C).